Record 1
# NiSnSeBr2, optimized geometry, DFT PBE
# VASP energy (eV per atom): -3.462
# Crystal system: tetragonal
# Space group: P4/mmm
data_NiSnSeBr2
_chemical_formula_sum 'Ni1 Sn1 Se1 Br2'
_cell_length_a 4.845
_cell_length_b 4.845
_cell_length_c 5.039
_cell_angle_alpha 90.00
_cell_angle_beta 90.00
_cell_angle_gamma 90.00
_space_group_name_H-M_alt 'P 1'
_space_group_IT_number 1
_space_group_name_Hall 'P 1'
loop_
_atom_site_label
_atom_site_type_symbol
_atom_site_fract_x
_atom_site_fract_y
_atom_site_fract_z
Ni1 Ni 0.000 0.000 0.000
Se1 Se 0.000 0.000 0.500
Sn1 Sn 0.500 0.500 0.500
Br1 Br 0.000 0.500 0.000
Br2 Br 0.500 0.000 0.000



Record 2
# SrNiSeBr2, optimized geometry, DFT PBE
# VASP energy (eV per atom): -2.893
# Crystal system: tetragonal
# Space group: P4/mmm
data_SrNiSeBr2
_chemical_formula_sum 'Sr1 Ni1 Se1 Br2'
_cell_length_a 5.798
_cell_length_b 5.798
_cell_length_c 6.088
_cell_angle_alpha 90.00
_cell_angle_beta 90.00
_cell_angle_gamma 90.00
_space_group_name_H-M_alt 'P 1'
_space_group_IT_number 1
_space_group_name_Hall 'P 1'
loop_
_atom_site_label
_atom_site_type_symbol
_atom_site_fract_x
_atom_site_fract_y
_atom_site_fract_z
Sr1 Sr 0.000 0.000 0.000
Se1 Se 0.000 0.000 0.500
Br1 Br 0.000 0.500 0.000
Br2 Br 0.500 0.000 0.000
Ni1 Ni 0.500 0.500 0.500



Record 3
# SrNiSeBr2, optimized geometry, DFT PBE
# VASP energy (eV per atom): -3.799
# Crystal system: tetragonal
# Space group: P4/mmm
data_SrNiSeBr2
_chemical_formula_sum 'Sr1 Ni1 Se1 Br2'
_cell_length_a 4.918
_cell_length_b 4.918
_cell_length_c 5.080
_cell_angle_alpha 90.00
_cell_angle_beta 90.00
_cell_angle_gamma 90.00
_space_group_name_H-M_alt 'P 1'
_space_group_IT_number 1
_space_group_name_Hall 'P 1'
loop_
_atom_site_label
_atom_site_type_symbol
_atom_site_fract_x
_atom_site_fract_y
_atom_site_fract_z
Sr1 Sr 0.500 0.500 0.500
Se1 Se 0.000 0.000 0.500
Br1 Br 0.000 0.500 0.000
Br2 Br 0.500 0.000 0.000
Ni1 Ni 0.000 0.000 0.000



Record 4
# TaNiSe2Br, optimized geometry, DFT PBE
# VASP energy (eV per atom): -4.840
# Crystal system: tetragonal
# Space group: P4/mmm
data_TaNiSe2Br
_chemical_formula_sum 'Ta1 Ni1 Se2 Br1'
_cell_length_a 5.023
_cell_length_b 5.023
_cell_length_c 5.122
_cell_angle_alpha 90.00
_cell_angle_beta 90.00
_cell_angle_gamma 90.00
_space_group_name_H-M_alt 'P 1'
_space_group_IT_number 1
_space_group_name_Hall 'P 1'
loop_
_atom_site_label
_atom_site_type_symbol
_atom_site_fract_x
_atom_site_fract_y
_atom_site_fract_z
Ni1 Ni 0.500 0.500 0.500
Se1 Se 0.000 0.500 0.000
Se2 Se 0.500 0.000 0.000
Br1 Br 0.000 0.000 0.500
Ta1 Ta 0.000 0.000 0.000



Record 5
# TaNiSe2Br, optimized geometry, DFT PBE
# VASP energy (eV per atom): -4.547
# Crystal system: tetragonal
# Space group: P4/mmm
data_TaNiSe2Br
_chemical_formula_sum 'Ta1 Ni1 Se2 Br1'
_cell_length_a 4.676
_cell_length_b 4.676
_cell_length_c 4.578
_cell_angle_alpha 90.00
_cell_angle_beta 90.00
_cell_angle_gamma 90.00
_space_group_name_H-M_alt 'P 1'
_space_group_IT_number 1
_space_group_name_Hall 'P 1'
loop_
_atom_site_label
_atom_site_type_symbol
_atom_site_fract_x
_atom_site_fract_y
_atom_site_fract_z
Ni1 Ni 0.000 0.000 0.000
Se1 Se 0.000 0.500 0.000
Se2 Se 0.500 0.000 0.000
Br1 Br 0.000 0.000 0.500
Ta1 Ta 0.500 0.500 0.500



Record 6
# NiTeSeBr2, optimized geometry, DFT PBE
# VASP energy (eV per atom): -2.435
# Crystal system: tetragonal
# Space group: P4/mmm
data_NiTeSeBr2
_chemical_formula_sum 'Ni1 Te1 Se1 Br2'
_cell_length_a 5.491
_cell_length_b 5.491
_cell_length_c 5.547
_cell_angle_alpha 90.00
_cell_angle_beta 90.00
_cell_angle_gamma 90.00
_space_group_name_H-M_alt 'P 1'
_space_group_IT_number 1
_space_group_name_Hall 'P 1'
loop_
_atom_site_label
_atom_site_type_symbol
_atom_site_fract_x
_atom_site_fract_y
_atom_site_fract_z
Ni1 Ni 0.500 0.500 0.500
Te1 Te 0.000 0.000 0.000
Se1 Se 0.000 0.000 0.500
Br1 Br 0.000 0.500 0.000
Br2 Br 0.500 0.000 0.000